(1)
Density functional theory data (PBE) for a relaxed structure of CaCdW2.

POSCAR file:
```
CaCdW2
1.0
-1.7009 2.5698 4.8480
1.7009 -2.5698 4.8480
1.7009 2.5698 -4.8480
Ca Cd W
1 1 2
Cartesian
0.0000 0.0000 0.0000
1.7009 0.0000 2.6824
0.0000 0.0000 5.2381
0.0000 2.5698 2.1689
```

Summary:
- Total magnetization: 0.000 μB/f.u.
- DFT formation energy: 0.73 eV per atom
- Space-group type: Imm2 (44)
- Crystal system: orthorhombic
- Fermi-level density of states: 2.4 states/eV/f.u.
- E_tot: -6.48 eV/atom


(2)
Density functional theory data (PBE) for a relaxed structure of Ca4CdW.

POSCAR file:
```
Ca4CdW
1.0
0.0000 4.5046 4.5046
4.5046 0.0000 4.5046
4.5046 4.5046 0.0000
Ca Cd W
4 1 1
Cartesian
1.1298 1.1298 1.1298
3.3749 3.3749 1.1298
3.3749 1.1298 3.3749
1.1298 3.3749 3.3749
6.7570 6.7570 6.7570
4.5046 4.5046 4.5046
```

Summary:
- Total magnetization: 4.000 μB/f.u.
- DFT formation energy: 1.01 eV per atom
- Space-group type: F-43m (216)
- Crystal system: cubic
- Fermi-level density of states: 3.5 states/eV/f.u.
- E_tot: -2.63 eV/atom


(3)
Density functional theory data (PBE) for a relaxed structure of CaCdW2.

POSCAR file:
```
CaCdW2
1.0
2.7885 0.0000 0.0000
0.0000 2.7885 0.0000
0.0000 0.0000 9.9072
Ca Cd W
1 1 2
Cartesian
0.0000 0.0000 0.0000
1.3943 1.3943 2.7036
0.0000 0.0000 5.0470
1.3943 1.3943 7.3129
```

Summary:
- Total magnetization: 0.000 μB/f.u.
- DFT formation energy: 0.66 eV per atom
- Space-group type: P4mm (99)
- Crystal system: tetragonal
- Fermi-level density of states: 3.3 states/eV/f.u.
- E_tot: -6.55 eV/atom


(4)
Density functional theory data (PBE) for a relaxed structure of CaCd3W.

POSCAR file:
```
CaCd3W
1.0
5.2795 0.0000 0.0000
0.0000 5.2795 0.0000
0.0000 0.0000 5.2795
Ca Cd W
1 3 1
Cartesian
0.0000 0.0000 0.0000
0.0000 2.6397 2.6397
2.6397 0.0000 2.6397
2.6397 2.6397 0.0000
2.6397 2.6397 2.6397
```

Summary:
- Total magnetization: 0.000 μB/f.u.
- DFT formation energy: 0.74 eV per atom
- Space-group type: Pm-3m (221)
- Crystal system: cubic
- Fermi-level density of states: 4.9 states/eV/f.u.
- E_tot: -2.80 eV/atom


(5)
Density functional theory data (PBE) for a relaxed structure of CaCdW2.

POSCAR file:
```
CaCdW2
1.0
-1.9646 1.9646 10.7144
1.9646 -1.9646 10.7144
1.9646 1.9646 -10.7144
Ca Cd W
2 2 4
Cartesian
0.0000 0.0000 0.0000
0.0000 1.9646 5.3572
1.9646 0.0000 5.3572
0.0000 0.0000 10.7144
2.9469 0.9767 -2.6786
0.9767 0.9823 2.6786
-0.9823 0.9878 8.0358
0.9878 0.9823 13.3930
```

Summary:
- Total magnetization: 0.000 μB/f.u.
- DFT formation energy: 1.08 eV per atom
- Space-group type: I-42d (122)
- Crystal system: tetragonal
- Fermi-level density of states: 2.9 states/eV/f.u.
- E_tot: -6.13 eV/atom


(6)
Density functional theory data (PBE) for a relaxed structure of CaCdW2.

POSCAR file:
```
CaCdW2
1.0
1.6782 -2.3914 0.0000
1.6782 2.3914 0.0000
0.0000 0.0000 9.8945
Ca Cd W
1 1 2
Cartesian
0.0000 0.0000 0.0000
1.6782 0.0000 2.7888
0.0000 0.0000 5.2818
1.6782 0.0000 7.2753
```

Summary:
- Total magnetization: 0.000 μB/f.u.
- DFT formation energy: 0.51 eV per atom
- Space-group type: Cmm2 (35)
- Crystal system: orthorhombic
- Fermi-level density of states: 3.3 states/eV/f.u.
- E_tot: -6.69 eV/atom


(7)
Density functional theory data (PBE) for a relaxed structure of CaCdW2.

POSCAR file:
```
CaCdW2
1.0
3.9761 0.0000 0.0000
0.0000 3.9761 0.0000
0.0000 0.0000 4.9307
Ca Cd W
1 1 2
Cartesian
0.0000 0.0000 0.0000
1.9881 1.9881 0.0000
0.0000 1.9881 2.4654
1.9881 0.0000 2.4654
```

Summary:
- Total magnetization: 0.000 μB/f.u.
- DFT formation energy: 0.82 eV per atom
- Space-group type: P4/mmm (123)
- Crystal system: tetragonal
- Fermi-level density of states: 1.4 states/eV/f.u.
- E_tot: -6.39 eV/atom


(8)
Density functional theory data (PBE) for a relaxed structure of CaCdW2.

POSCAR file:
```
CaCdW2
1.0
-1.9922 1.9922 4.9442
1.9922 -1.9922 4.9442
1.9922 1.9922 -4.9442
Ca Cd W
1 1 2
Cartesian
0.0000 0.0000 0.0000
0.0000 0.0000 4.9442
1.9922 0.0000 2.4721
0.0000 1.9922 2.4721
```

Summary:
- Total magnetization: 0.000 μB/f.u.
- DFT formation energy: 0.84 eV per atom
- Space-group type: I4/mmm (139)
- Crystal system: tetragonal
- Fermi-level density of states: 3.1 states/eV/f.u.
- E_tot: -6.36 eV/atom


(9)
Density functional theory data (PBE) for a relaxed structure of CaCdW2.

POSCAR file:
```
CaCdW2
1.0
2.7631 0.0000 0.0000
0.0000 5.0488 0.0000
0.0000 0.0000 5.6230
Ca Cd W
1 1 2
Cartesian
0.0000 0.0000 0.0000
0.0000 0.0000 2.8115
1.3816 2.5244 1.3201
1.3816 2.5244 4.3029
```

Summary:
- Total magnetization: 0.000 μB/f.u.
- DFT formation energy: 0.84 eV per atom
- Space-group type: Pmmm (47)
- Crystal system: orthorhombic
- Fermi-level density of states: 1.7 states/eV/f.u.
- E_tot: -6.37 eV/atom


(10)
Density functional theory data (PBE) for a relaxed structure of CaCdW2.

POSCAR file:
```
CaCdW2
1.0
4.7583 -1.3946 0.0000
4.7583 1.3946 0.0000
-0.3758 0.0000 6.0088
Ca Cd W
1 1 2
Cartesian
0.0000 0.0000 0.0000
2.0743 0.0000 4.4132
4.6899 0.0000 2.8194
7.1036 0.0000 1.7538
```

Summary:
- Total magnetization: 0.000 μB/f.u.
- DFT formation energy: 0.69 eV per atom
- Space-group type: Cm (8)
- Crystal system: monoclinic
- Fermi-level density of states: 1.4 states/eV/f.u.
- E_tot: -6.52 eV/atom


(11)
Density functional theory data (PBE) for a relaxed structure of CaCdW2.

POSCAR file:
```
CaCdW2
1.0
2.8291 -4.9618 0.0000
2.8291 4.9618 0.0000
0.0000 0.0000 2.7621
Ca Cd W
1 1 2
Cartesian
0.0000 0.0000 0.0000
2.8291 0.0000 0.0000
1.4146 2.4809 1.3811
1.4146 -2.4809 1.3811
```

Summary:
- Total magnetization: 0.000 μB/f.u.
- DFT formation energy: 0.86 eV per atom
- Space-group type: Cmmm (65)
- Crystal system: orthorhombic
- Fermi-level density of states: 3.0 states/eV/f.u.
- E_tot: -6.35 eV/atom


(12)
Density functional theory data (PBE) for a relaxed structure of CaCdW2.

POSCAR file:
```
CaCdW2
1.0
3.3321 0.0000 0.0000
0.0000 3.3247 0.0000
-0.1005 0.0000 7.6768
Ca Cd W
1 1 2
Cartesian
0.0000 0.0000 0.0000
1.5697 1.6624 5.3510
1.6442 1.6624 2.2409
3.2119 0.0000 3.4154
```

Summary:
- Total magnetization: 0.000 μB/f.u.
- DFT formation energy: 0.41 eV per atom
- Space-group type: Pm (6)
- Crystal system: monoclinic
- Fermi-level density of states: 3.6 states/eV/f.u.
- E_tot: -6.80 eV/atom